Below is an optimized crystal structure of NbFePd2, with properties calculated at the PBE level.

N(E_F): 3.517 states/eV/cell
Energy relative to the lowest polymorph listed for this composition: 234 meV/atom
Space group: R-3m (166)

a b c (Å): 2.8038 2.8038 9.5470
angles (deg): 81.56 81.56 60.00
Fractional coordinates of all 4 atoms:
Nb 0.0000 0.0000 0.0000
Fe 0.5000 0.5000 0.5000
Pd 0.0922 0.0922 0.7234
Pd 0.9078 0.9078 0.2766